A relaxed structure of BaSiNiO4, computed with PBE+U.

Structure (POSCAR):
```
BaSiNiO4
1.0
0.000 4.025 4.025
4.025 0.000 4.025
4.025 4.025 0.000
Ba Si Ni O
1 1 1 4
direct
0.000 0.000 0.000
0.500 0.500 0.500
0.250 0.250 0.250
0.383 0.383 0.383
0.383 0.383 0.850
0.383 0.850 0.383
0.850 0.383 0.383
```

* E_tot: -6.22 eV per atom